Entry 1:
A plane-wave DFT calculation with GGA-PBEsol was carried out for an optimized crystal structure of TlRe2Si.

Cell lengths 6.375, 6.375, 6.375 Å; angles 90.00, 90.00, 90.00 degrees
Space group F-43m (No. 216)
Unique sites:
Tl 0.000 0.000 0.000 [4 per cell]
Re 0.000 0.000 0.500 [4 per cell]
Re 0.250 0.250 0.750 [4 per cell]
Si 0.250 0.250 0.250 [4 per cell]

Uncorrected formation energy (eV per atom): 0.89
DFT total energy (eV per atom): -7.873

***

Entry 2:
A plane-wave DFT calculation with GGA-PBEsol was carried out for an optimized crystal structure of TlReSi3.

Cell lengths 4.935, 4.935, 4.935 Å; angles 90.00, 90.00, 90.00 degrees
Space group Pm-3m (No. 221)
Unique sites:
Tl 0.000 0.000 0.000 [1 per cell]
Re 0.500 0.500 0.500 [1 per cell]
Si 0.000 0.000 0.500 [3 per cell]

Uncorrected formation energy (eV per atom): 2.44
DFT total energy (eV per atom): -4.201

***

Entry 3:
A plane-wave DFT calculation with GGA-PBEsol was carried out for an optimized crystal structure of TlRe2Si.

Cell lengths 6.266, 6.266, 6.266 Å; angles 90.00, 90.00, 90.00 degrees
Space group Fm-3m (No. 225)
Unique sites:
Tl 0.000 0.000 0.000 [4 per cell]
Re 0.250 0.250 0.250 [8 per cell]
Si 0.000 0.000 0.500 [4 per cell]

Uncorrected formation energy (eV per atom): 0.77
DFT total energy (eV per atom): -7.991

***

Entry 4:
A plane-wave DFT calculation with GGA-PBEsol was carried out for an optimized crystal structure of TlZnRe2Si.

Cell lengths 4.620, 4.620, 4.599 Å; angles 90.00, 90.00, 90.00 degrees
Space group P4/mmm (No. 123)
Unique sites:
Tl 0.000 0.000 0.000 [1 per cell]
Zn 0.000 0.000 0.500 [1 per cell]
Re 0.000 0.500 0.500 [2 per cell]
Si 0.500 0.500 0.000 [1 per cell]

Uncorrected formation energy (eV per atom): 2.15
DFT total energy (eV per atom): -5.174

***

Entry 5:
A plane-wave DFT calculation with GGA-PBEsol was carried out for an optimized crystal structure of Re2SiW.

Cell lengths 3.039, 3.039, 6.094 Å; angles 90.00, 90.00, 90.00 degrees
Space group P4/mmm (No. 123)
Unique sites:
Re 0.000 0.000 0.235 [2 per cell]
Si 0.500 0.500 0.000 [1 per cell]
W 0.500 0.500 0.500 [1 per cell]

Uncorrected formation energy (eV per atom): -0.12
DFT total energy (eV per atom): -11.673

***

Entry 6:
A plane-wave DFT calculation with GGA-PBEsol was carried out for an optimized crystal structure of ReSi4W.

Cell lengths 3.185, 3.185, 7.811 Å; angles 90.00, 90.00, 90.00 degrees
Space group P4/mmm (No. 123)
Unique sites:
Re 0.000 0.000 0.000 [1 per cell]
Si 0.000 0.000 0.333 [2 per cell]
Si 0.500 0.500 0.167 [2 per cell]
W 0.500 0.500 0.500 [1 per cell]

Uncorrected formation energy (eV per atom): -0.38
DFT total energy (eV per atom): -8.737

***

Entry 7:
A plane-wave DFT calculation with GGA-PBEsol was carried out for an optimized crystal structure of Re2SiW.

Cell lengths 6.111, 6.111, 6.111 Å; angles 90.00, 90.00, 90.00 degrees
Space group F-43m (No. 216)
Unique sites:
Re 0.000 0.000 0.000 [4 per cell]
Re 0.250 0.250 0.250 [4 per cell]
Si 0.000 0.000 0.500 [4 per cell]
W 0.250 0.250 0.750 [4 per cell]

Uncorrected formation energy (eV per atom): 0.17
DFT total energy (eV per atom): -11.384

***

Entry 8:
A plane-wave DFT calculation with GGA-PBEsol was carried out for an optimized crystal structure of Re2SiW.

Cell lengths 5.368, 8.555, 2.767 Å; angles 90.00, 115.09, 90.00 degrees
Space group C2/m (No. 12)
Unique sites:
Re 0.250 0.250 0.000 [4 per cell]
Si 0.000 0.000 0.500 [2 per cell]
W 0.000 0.500 0.500 [2 per cell]

Uncorrected formation energy (eV per atom): 0.18
DFT total energy (eV per atom): -11.377

***

Entry 9:
A plane-wave DFT calculation with GGA-PBEsol was carried out for an optimized crystal structure of Y2Re3Si5.

Cell lengths 10.906, 10.906, 5.466 Å; angles 90.00, 90.00, 90.00 degrees
Space group P4/mnc (No. 128)
Unique sites:
Y 0.078 0.237 0.000 [8 per cell]
Re 0.000 0.500 0.250 [4 per cell]
Re 0.123 0.853 0.500 [8 per cell]
Si 0.000 0.000 0.241 [4 per cell]
Si 0.029 0.314 0.500 [8 per cell]
Si 0.172 0.672 0.250 [8 per cell]

Uncorrected formation energy (eV per atom): -0.66
DFT total energy (eV per atom): -8.899

***

Entry 10:
A plane-wave DFT calculation with GGA-PBEsol was carried out for an optimized crystal structure of YReSi2.

Cell lengths 4.051, 4.051, 3.963 Å; angles 90.00, 90.00, 90.00 degrees
Space group P4/mmm (No. 123)
Unique sites:
Y 0.000 0.000 0.000 [1 per cell]
Re 0.500 0.500 0.000 [1 per cell]
Si 0.000 0.500 0.500 [2 per cell]

Uncorrected formation energy (eV per atom): -0.01
DFT total energy (eV per atom): -7.918

***

Entry 11:
A plane-wave DFT calculation with GGA-PBEsol was carried out for an optimized crystal structure of ZnRe2Si.

Cell lengths 2.953, 4.589, 8.270 Å; angles 90.00, 90.00, 90.00 degrees
Space group Cmmm (No. 65)
Unique sites:
Zn 0.000 0.000 0.000 [2 per cell]
Re 0.000 0.500 0.266 [4 per cell]
Si 0.000 0.000 0.500 [2 per cell]

Uncorrected formation energy (eV per atom): 0.20
DFT total energy (eV per atom): -8.301

***

Entry 12:
A plane-wave DFT calculation with GGA-PBEsol was carried out for an optimized crystal structure of ZnRe2Si.

Cell lengths 8.992, 2.905, 4.344 Å; angles 90.00, 107.01, 90.00 degrees
Space group Cm (No. 8)
Unique sites:
Zn 0.000 0.000 0.000 [2 per cell]
Re 0.004 0.500 0.506 [2 per cell]
Re 0.254 0.500 0.184 [2 per cell]
Si 0.247 0.000 0.687 [2 per cell]

Uncorrected formation energy (eV per atom): 0.08
DFT total energy (eV per atom): -8.421